one) Material: Ti3TeSe
Method: DFT, PBE
State: optimized geometry

spin magnetization	1.9	μB/f.u.

Cell lengths 4.732, 4.732, 4.732 Å; angles 90.00, 90.00, 90.00 degrees
Space group Pm-3m (No. 221)
One atom of each set of equivalent atoms:
Ti: 0.000 0.000 0.500 (multiplicity 3)
Te: 0.500 0.500 0.500 (multiplicity 1)
Se: 0.000 0.000 0.000 (multiplicity 1)

***

two) Material: Ti3TeSe
Method: DFT, PBE
State: optimized geometry

spin magnetization	5.7	μB/f.u.

Cell lengths 5.085, 5.085, 5.085 Å; angles 90.00, 90.00, 90.00 degrees
Space group Pm-3m (No. 221)
One atom of each set of equivalent atoms:
Ti: 0.000 0.000 0.500 (multiplicity 3)
Te: 0.000 0.000 0.000 (multiplicity 1)
Se: 0.500 0.500 0.500 (multiplicity 1)

***

three) Material: Ti3TeSe
Method: DFT, PBE
State: optimized geometry

spin magnetization	0.0	μB/f.u.

Cell lengths 11.540, 10.313, 6.581 Å; angles 90.00, 90.69, 90.00 degrees
Space group C2/c (No. 15)
One atom of each set of equivalent atoms:
Ti: 0.106 0.242 0.406 (multiplicity 8)
Ti: 0.108 0.067 0.102 (multiplicity 8)
Ti: 0.156 0.333 0.948 (multiplicity 8)
Te: 0.000 0.161 0.750 (multiplicity 4)
Te: 0.000 0.451 0.250 (multiplicity 4)
Se: 0.237 0.426 0.593 (multiplicity 8)

***

Quick one: least stable of them? two)

***

one) Material: Ti2Te2Se
Method: DFT, PBE
State: optimized geometry

spin magnetization	0.0	μB/f.u.

Cell lengths 12.422, 5.538, 7.802 Å; angles 90.00, 113.39, 90.00 degrees
Space group C2/m (No. 12)
One atom of each set of equivalent atoms:
Ti: 0.013 0.000 0.212 (multiplicity 4)
Ti: 0.195 0.500 0.587 (multiplicity 4)
Te: 0.013 0.500 0.745 (multiplicity 4)
Te: 0.161 0.000 0.604 (multiplicity 4)
Se: 0.164 0.000 0.085 (multiplicity 4)

***

two) Material: Ti2Te2Se
Method: DFT, PBE
State: optimized geometry

spin magnetization	0.0	μB/f.u.

Cell lengths 7.575, 7.575, 3.690 Å; angles 90.00, 90.00, 90.00 degrees
Space group P4/mbm (No. 127)
One atom of each set of equivalent atoms:
Ti: 0.140 0.360 0.000 (multiplicity 4)
Te: 0.148 0.648 0.500 (multiplicity 4)
Se: 0.000 0.000 0.000 (multiplicity 2)

***

Quick one: least stable of them? two)

***

one) Material: TlTeSe2
Method: DFT, PBE
State: optimized geometry

spin magnetization	0.0	μB/f.u.

Cell lengths 4.065, 8.203, 8.418 Å; angles 90.00, 90.00, 90.00 degrees
Space group Cmmm (No. 65)
One atom of each set of equivalent atoms:
Tl: 0.000 0.000 0.000 (multiplicity 2)
Te: 0.000 0.000 0.500 (multiplicity 2)
Se: 0.000 0.500 0.275 (multiplicity 4)

***

two) Material: TlTeSe2
Method: DFT, PBE
State: optimized geometry

spin magnetization	0.0	μB/f.u.

Cell lengths 4.1528, 4.1528, 25.9675 Å; angles 90.00, 90.00, 120.00 degrees
Space group R-3m (No. 166, hexagonal axes)
One atom of each set of equivalent atoms:
Tl: 0.0000 0.0000 0.0000 (multiplicity 3)
Te: 0.0000 0.0000 0.5000 (multiplicity 3)
Se: 0.0000 0.0000 0.3969 (multiplicity 6)

***

Quick one: least stable of them? two)

***

one) Material: TlTeSe2
Method: DFT, PBE
State: optimized geometry

spin magnetization	0.0	μB/f.u.

Cell lengths 4.031, 4.035, 8.232 Å; angles 90.00, 90.00, 90.00 degrees
Space group Pmmm (No. 47)
One atom of each set of equivalent atoms:
Tl: 0.000 0.000 0.000 (multiplicity 1)
Te: 0.000 0.500 0.500 (multiplicity 1)
Se: 0.500 0.000 0.500 (multiplicity 1)
Se: 0.500 0.500 0.000 (multiplicity 1)

***

two) Material: TlTeSe2
Method: DFT, PBE
State: optimized geometry

spin magnetization	0.0	μB/f.u.

Cell lengths 10.523, 6.794, 9.226 Å; angles 90.00, 90.00, 90.00 degrees
Space group Pnma (No. 62)
One atom of each set of equivalent atoms:
Tl: 0.100 0.250 0.129 (multiplicity 4)
Te: 0.053 0.250 0.635 (multiplicity 4)
Se: 0.086 0.750 0.142 (multiplicity 4)
Se: 0.094 0.750 0.573 (multiplicity 4)

***

Quick one: least stable of them? one)

***

one) Material: TlTeSe2
Method: DFT, PBE
State: optimized geometry

spin magnetization	0.0	μB/f.u.

Cell lengths 4.3931, 4.3931, 22.1654 Å; angles 90.00, 90.00, 120.00 degrees
Space group R3m (No. 160, hexagonal axes)
One atom of each set of equivalent atoms:
Tl: 0.0000 0.0000 0.0000 (multiplicity 3)
Te: 0.0000 0.0000 0.8265 (multiplicity 3)
Se: 0.0000 0.0000 0.2228 (multiplicity 3)
Se: 0.0000 0.0000 0.4244 (multiplicity 3)

***

two) Material: TlTeSe2
Method: DFT, PBE
State: optimized geometry

spin magnetization	0.0	μB/f.u.

Cell lengths 7.390, 7.390, 7.390 Å; angles 90.00, 90.00, 90.00 degrees
Space group F-43m (No. 216)
One atom of each set of equivalent atoms:
Tl: 0.000 0.000 0.000 (multiplicity 4)
Te: 0.250 0.250 0.250 (multiplicity 4)
Se: 0.000 0.000 0.500 (multiplicity 4)
Se: 0.250 0.250 0.750 (multiplicity 4)

***

Quick one: least stable of them? two)

***

one) Material: TlTeSe2
Method: DFT, PBE
State: optimized geometry

spin magnetization	0.0	μB/f.u.

Cell lengths 4.184, 4.184, 7.741 Å; angles 90.00, 90.00, 90.00 degrees
Space group P4mm (No. 99)
One atom of each set of equivalent atoms:
Tl: 0.000 0.000 0.000 (multiplicity 1)
Te: 0.500 0.500 0.481 (multiplicity 1)
Se: 0.000 0.000 0.516 (multiplicity 1)
Se: 0.500 0.500 0.152 (multiplicity 1)

***

two) Material: TlTeSe2
Method: DFT, PBE
State: optimized geometry

spin magnetization	0.0	μB/f.u.

Cell lengths 3.089, 5.991, 5.966 Å; angles 90.00, 90.28, 90.00 degrees
Space group Pm (No. 6)
One atom of each set of equivalent atoms:
Tl: 0.000 0.000 0.000 (multiplicity 1)
Te: 0.493 0.500 0.500 (multiplicity 1)
Se: 0.494 0.000 0.500 (multiplicity 1)
Se: 0.494 0.500 0.000 (multiplicity 1)

***

three) Material: TlTeSe2
Method: DFT, PBE
State: optimized geometry

spin magnetization	0.0	μB/f.u.

Cell lengths 4.033, 6.455, 9.323 Å; angles 90.00, 90.00, 90.00 degrees
Space group Immm (No. 71)
One atom of each set of equivalent atoms:
Tl: 0.000 0.000 0.000 (multiplicity 2)
Te: 0.000 0.000 0.500 (multiplicity 2)
Se: 0.000 0.500 0.203 (multiplicity 4)

***

Quick one: least stable of them? two)